Entry 1:
A relaxed structure of Li8Ca3, computed with PBE-GGA.

Geometry as POSCAR:
```
Li8Ca3
1.0
-1.8171 2.6087 15.8579
1.8171 -2.6087 15.8579
1.8171 2.6087 -15.8579
Li Ca
8 3
Direct
0.0474 0.0474 0.0000
0.2393 0.2393 0.0000
0.3124 0.8124 0.5000
0.4057 0.9057 0.5000
0.5943 0.0943 0.5000
0.6876 0.1876 0.5000
0.7607 0.7607 0.0000
0.9526 0.9526 0.0000
0.1427 0.6427 0.5000
0.5000 0.5000 0.0000
0.8573 0.3573 0.5000
```



Entry 2:
A relaxed structure of Li6Ca, computed with PBE-GGA.

Geometry as POSCAR:
```
Li6Ca
1.0
9.5639 0.0000 0.0000
0.0000 5.9285 0.0000
0.0000 0.0000 11.6029
Li Ca
24 4
Direct
0.0599 0.2500 0.0842
0.0667 0.5066 0.3060
0.0667 0.9934 0.3060
0.0973 0.7500 0.5197
0.1427 0.2500 0.8516
0.1863 0.7500 0.7608
0.3137 0.2500 0.2608
0.3573 0.7500 0.3516
0.4027 0.2500 0.0197
0.4333 0.0066 0.8060
0.4333 0.4934 0.8060
0.4401 0.7500 0.5842
0.5599 0.2500 0.4158
0.5667 0.5066 0.1940
0.5667 0.9934 0.1940
0.5973 0.7500 0.9803
0.6427 0.2500 0.6484
0.6863 0.7500 0.7392
0.8137 0.2500 0.2392
0.8573 0.7500 0.1484
0.9027 0.2500 0.4803
0.9333 0.0066 0.6940
0.9333 0.4934 0.6940
0.9401 0.7500 0.9158
0.2469 0.7500 0.0636
0.2531 0.2500 0.5636
0.7469 0.7500 0.4364
0.7531 0.2500 0.9364
```

The distance to the lowest polymorph of the same formula is 0.0 meV per atom.



Entry 3:
A relaxed structure of LiCa2, computed with PBE-GGA.

Geometry as POSCAR:
```
LiCa2
1.0
7.8942 0.0000 0.0000
0.0000 7.8942 0.0000
0.0000 0.0000 3.8187
Li Ca
2 4
Direct
0.0000 0.0000 0.0000
0.5000 0.5000 0.5000
0.2277 0.2277 0.5000
0.2723 0.7277 0.0000
0.7277 0.2723 0.0000
0.7723 0.7723 0.5000
```

The distance to the lowest polymorph of the same formula is 238.8 meV per atom.



Entry 4:
A relaxed structure of Li4Ca3, computed with PBE-GGA.

Geometry as POSCAR:
```
Li4Ca3
1.0
3.7988 0.0000 0.0000
0.0000 3.7988 0.0000
0.0000 0.0000 28.7079
Li Ca
8 6
Direct
0.0000 0.0000 0.0767
0.0000 0.0000 0.3766
0.0000 0.0000 0.6234
0.0000 0.0000 0.9233
0.5000 0.5000 0.1234
0.5000 0.5000 0.4233
0.5000 0.5000 0.5767
0.5000 0.5000 0.8766
0.0000 0.0000 0.2002
0.0000 0.0000 0.5000
0.0000 0.0000 0.7998
0.5000 0.5000 0.0000
0.5000 0.5000 0.2998
0.5000 0.5000 0.7002
```



Entry 5:
A relaxed structure of Li3Ca, computed with PBE-GGA.

Geometry as POSCAR:
```
Li3Ca
1.0
10.3237 0.0000 0.0000
-5.1618 8.9406 0.0000
0.0000 0.0000 3.5297
Li Ca
9 3
Direct
0.0000 0.5000 0.0000
0.1667 0.3333 0.3333
0.1667 0.8333 0.3333
0.3333 0.1667 0.6667
0.5000 0.0000 0.0000
0.5000 0.5000 0.0000
0.6667 0.8333 0.3333
0.8333 0.1667 0.6667
0.8333 0.6667 0.6667
0.0000 0.0000 0.0000
0.3333 0.6667 0.6667
0.6667 0.3333 0.3333
```

The distance to the lowest polymorph of the same formula is 78.9 meV per atom.



Entry 6:
A relaxed structure of Li3Ca, computed with PBE-GGA.

Geometry as POSCAR:
```
Li3Ca
1.0
5.8718 0.0000 0.0000
0.0000 4.5084 0.0000
0.0000 0.0000 7.8774
Li Ca
6 2
Direct
0.0000 0.0000 0.0000
0.2500 0.0000 0.3579
0.2500 0.5000 0.1203
0.5000 0.0000 0.0000
0.7500 0.0000 0.6421
0.7500 0.5000 0.8797
0.2500 0.5000 0.6814
0.7500 0.5000 0.3186
```

The distance to the lowest polymorph of the same formula is 5.1 meV per atom.



Summary of spin magnetization in μB per cell
0.0; 0.0; 0.0; 0.0; 0.0; 0.0
(order as listed above)
Summary of DOS(E_F) in states/eV/f.u.
7.49; 4.68; 3.41; 5.99; 2.76; 2.96
(order as listed above)
Summary of DFT total energy in eV/atom
-1.881; -1.902; -1.723; -1.935; -1.830; -1.904
(order as listed above)